(1)
! MgGaBr3 PBE optimized geometry; values from VASP
! total DFT energy (no corrections) = -2.900 eV/atom
! E above lowest polymorph = 122 meV per atom
! theoretical density = 3.735 Mg/m³
! space group = Pm-3m, No. 221
&SYSTEM
  ibrav = 0, nat = 5, ntyp = 3
/
ATOMIC_SPECIES
Mg 24.30 Mg.upf
Ga 69.72 Ga.upf
Br 79.90 Br.upf
CELL_PARAMETERS angstrom
-2.501 2.631 3.853
1.431 -3.729 3.475
4.441 2.684 1.051
ATOMIC_POSITIONS angstrom
Mg 0.000 0.000 0.000
Ga 1.685 0.793 4.190
Br 0.716 -1.864 1.738
Br 2.221 1.342 0.525
Br -1.251 1.316 1.927

=====

(2)
! Mg2GaMoBr PBE optimized geometry; values from VASP
! total DFT energy (no corrections) = -3.179 eV/atom
! theoretical density = 3.643 Mg/m³
! space group = P4/mmm, No. 123
&SYSTEM
  ibrav = 0, nat = 5, ntyp = 4
/
ATOMIC_SPECIES
Mg 24.30 Mg.upf
Mo 95.94 Mo.upf
Ga 69.72 Ga.upf
Br 79.90 Br.upf
CELL_PARAMETERS angstrom
-3.706 -3.079 1.832
-0.439 -2.170 -4.534
3.555 -3.490 1.326
ATOMIC_POSITIONS angstrom
Mg 1.777 -1.745 0.663
Mg -1.853 -1.540 0.916
Mo -0.219 -1.085 -2.267
Ga 0.000 0.000 0.000
Br -0.295 -4.369 -0.688

=====

(3)
! Mg2GaNiBr PBE optimized geometry; values from VASP
! total DFT energy (no corrections) = -1.950 eV/atom
! theoretical density = 3.116 Mg/m³
! space group = P4/mmm, No. 123
&SYSTEM
  ibrav = 0, nat = 5, ntyp = 4
/
ATOMIC_SPECIES
Ni 58.69 Ni.upf
Mg 24.30 Mg.upf
Ga 69.72 Ga.upf
Br 79.90 Br.upf
CELL_PARAMETERS angstrom
5.030 0.000 0.000
0.000 5.411 0.000
0.000 0.000 5.030
ATOMIC_POSITIONS angstrom
Ni 2.515 2.706 2.515
Mg 0.000 0.000 2.515
Mg 2.515 0.000 0.000
Ga 0.000 2.706 0.000
Br 0.000 0.000 0.000

=====

(4)
! MgGaPdBr2 PBE optimized geometry; values from VASP
! total DFT energy (no corrections) = -2.515 eV/atom
! theoretical density = 4.060 Mg/m³
! space group = P4/mmm, No. 123
&SYSTEM
  ibrav = 0, nat = 5, ntyp = 4
/
ATOMIC_SPECIES
Mg 24.30 Mg.upf
Ga 69.72 Ga.upf
Br 79.90 Br.upf
Pd 106.42 Pd.upf
CELL_PARAMETERS angstrom
5.021 0.000 0.000
0.000 5.845 0.000
0.000 0.000 5.021
ATOMIC_POSITIONS angstrom
Mg 0.000 0.000 0.000
Ga 0.000 2.923 0.000
Br 0.000 0.000 2.510
Br 2.510 0.000 0.000
Pd 2.510 2.923 2.510

=====

(5)
! RbMgGa2Br8 PBE optimized geometry; values from VASP
! total DFT energy (no corrections) = -2.848 eV/atom
! theoretical density = 3.596 Mg/m³
! space group = R-3, No. 148
&SYSTEM
  ibrav = 0, nat = 12, ntyp = 4
/
ATOMIC_SPECIES
Rb 85.47 Rb.upf
Mg 24.30 Mg.upf
Ga 69.72 Ga.upf
Br 79.90 Br.upf
CELL_PARAMETERS angstrom
-4.162 3.286 4.388
-6.724 -1.464 0.117
-1.969 -6.466 8.373
ATOMIC_POSITIONS angstrom
Rb -6.427 -2.322 6.439
Mg 0.000 0.000 0.000
Ga -3.251 -1.002 3.065
Ga -9.604 -3.641 9.812
Br -2.850 -2.711 4.726
Br -4.795 0.643 4.154
Br -10.005 -1.932 8.152
Br -8.453 1.098 5.507
Br -4.401 -5.742 7.371
Br -7.724 -1.501 2.655
Br -5.131 -3.143 10.222
Br -8.059 -5.286 8.723

=====

(6)
! Rb2MgGaBr6 PBE optimized geometry; values from VASP
! total DFT energy (no corrections) = -2.954 eV/atom
! theoretical density = 3.825 Mg/m³
! space group = Fm-3m, No. 225
&SYSTEM
  ibrav = 0, nat = 10, ntyp = 4
/
ATOMIC_SPECIES
Mg 24.30 Mg.upf
Ga 69.72 Ga.upf
Br 79.90 Br.upf
Rb 85.47 Rb.upf
CELL_PARAMETERS angstrom
-5.992 -2.909 3.864
2.893 -7.085 -0.848
1.194 -4.437 6.184
ATOMIC_POSITIONS angstrom
Mg -1.549 -4.997 1.508
Ga 0.000 0.000 0.000
Br -0.188 -4.719 3.828
Br -1.717 -9.712 5.372
Br -0.781 -2.519 0.760
Br -2.318 -7.475 2.256
Br -3.753 -3.961 2.676
Br 0.654 -6.033 0.339
Rb -3.174 -6.171 5.778
Rb 1.269 -8.260 3.422

=====

(7)
! Rb2MgGaBr5 PBE optimized geometry; values from VASP
! total DFT energy (no corrections) = -3.010 eV/atom
! theoretical density = 3.372 Mg/m³
! space group = Cmc2_1, No. 36
&SYSTEM
  ibrav = 0, nat = 18, ntyp = 4
/
ATOMIC_SPECIES
Rb 85.47 Rb.upf
Mg 24.30 Mg.upf
Ga 69.72 Ga.upf
Br 79.90 Br.upf
CELL_PARAMETERS angstrom
4.330 0.000 0.000
-2.165 9.661 0.000
0.000 0.000 15.644
ATOMIC_POSITIONS angstrom
Rb 2.165 6.909 12.480
Rb 0.000 1.587 10.094
Rb 0.000 2.752 4.658
Rb 2.165 8.074 2.271
Mg 2.165 5.337 8.313
Mg 0.000 4.324 0.491
Ga 2.165 0.913 14.877
Ga 0.000 8.748 7.055
Br 0.000 6.829 15.422
Br 2.165 3.773 14.351
Br 0.000 9.627 12.100
Br 0.000 4.980 10.138
Br 2.165 7.874 8.980
Br 2.165 2.832 7.600
Br 0.000 5.888 6.529
Br 2.165 0.034 4.278
Br 2.165 4.680 2.316
Br 0.000 1.787 1.158

=====

(8)
! Mg2GaRhBr PBE optimized geometry; values from VASP
! total DFT energy (no corrections) = -3.380 eV/atom
! theoretical density = 4.079 Mg/m³
! space group = P4/mmm, No. 123
&SYSTEM
  ibrav = 0, nat = 5, ntyp = 4
/
ATOMIC_SPECIES
Mg 24.30 Mg.upf
Rh 102.91 Rh.upf
Ga 69.72 Ga.upf
Br 79.90 Br.upf
CELL_PARAMETERS angstrom
-2.926 -1.460 -3.869
0.962 -4.572 0.997
-4.008 -0.169 3.094
ATOMIC_POSITIONS angstrom
Mg -2.004 -0.084 1.547
Mg -1.463 -0.730 -1.935
Rh 0.000 0.000 0.000
Ga 0.481 -2.286 0.499
Br -2.985 -3.100 0.111

=====

(9)
! MgScGaBr2 PBE optimized geometry; values from VASP
! total DFT energy (no corrections) = -2.903 eV/atom
! theoretical density = 3.008 Mg/m³
! space group = P4/mmm, No. 123
&SYSTEM
  ibrav = 0, nat = 5, ntyp = 4
/
ATOMIC_SPECIES
Sc 44.96 Sc.upf
Mg 24.30 Mg.upf
Ga 69.72 Ga.upf
Br 79.90 Br.upf
CELL_PARAMETERS angstrom
4.982 0.000 0.000
0.000 4.982 0.000
0.000 0.000 6.646
ATOMIC_POSITIONS angstrom
Sc 0.000 0.000 3.323
Mg 0.000 0.000 0.000
Ga 2.491 2.491 3.323
Br 0.000 2.491 0.000
Br 2.491 0.000 0.000

=====

(10)
! MgGaW2Br PBE optimized geometry; values from VASP
! total DFT energy (no corrections) = -4.094 eV/atom
! theoretical density = 7.908 Mg/m³
! space group = P4/mmm, No. 123
&SYSTEM
  ibrav = 0, nat = 5, ntyp = 4
/
ATOMIC_SPECIES
Mg 24.30 Mg.upf
Ga 69.72 Ga.upf
Br 79.90 Br.upf
W 183.84 W.upf
CELL_PARAMETERS angstrom
-0.234 2.079 4.455
-4.152 -2.063 0.745
2.287 -3.902 1.941
ATOMIC_POSITIONS angstrom
Mg 0.000 0.000 0.000
Ga -1.050 -1.943 3.570
Br -2.076 -1.032 0.372
W 1.143 -1.951 0.971
W -0.117 1.040 2.227

=====

Quick rundown of formation energy without anion corrections, same order as above: -0.972 0.565 0.784 0.117 -1.015 -1.295 -1.352 -0.331 -0.043 2.346 eV per atom